Version a
A plane-wave DFT calculation with PBE-GGA was carried out for a relaxed LaMg7 crystal.

Unit cell a=6.673 b=6.673 c=6.673 alpha=60.00 beta=60.00 gamma=60.00
Each line ends with the local moment (μB).
Fractional coordinates of all 8 atoms:
1 La 0.000 0.000 0.000  0.50
2 Mg 0.500 0.500 0.000  0.03
3 Mg 0.500 0.000 0.500  0.03
4 Mg 0.500 0.000 0.000  0.03
5 Mg 0.000 0.000 0.500  0.03
6 Mg 0.000 0.500 0.000  0.03
7 Mg 0.000 0.500 0.500  0.03
8 Mg 0.500 0.500 0.500  0.00

Summary:
Space group: Fm-3m
Total moment, μB/atom: 0.296



Version b
A plane-wave DFT calculation with PBE-GGA was carried out for a relaxed LaMg7 crystal.

Unit cell a=6.756 b=6.756 c=5.211 alpha=90.00 beta=90.00 gamma=120.00
Fractional coordinates of all 8 atoms:
1 La 0.667 0.333 0.500
2 Mg 0.161 0.322 0.500
3 Mg 0.678 0.839 0.500
4 Mg 0.161 0.839 0.500
5 Mg 0.840 0.160 0.000
6 Mg 0.319 0.160 0.000
7 Mg 0.840 0.681 0.000
8 Mg 0.333 0.667 0.000

Summary:
Space group: P-6m2
Total moment, μB/atom: 0.000



Which is the most stable structure? version b is the most stable.



Version a
A plane-wave DFT calculation with PBE-GGA was carried out for a relaxed La8Mg crystal.

Unit cell a=8.239 b=8.239 c=8.239 alpha=95.75 beta=95.75 gamma=143.08
Fractional coordinates of all 9 atoms:
1 La 0.332 0.668 0.000
2 La 0.668 0.332 0.000
3 La 0.000 0.328 0.328
4 La 0.668 0.668 0.335
5 La 0.328 0.000 0.328
6 La 0.332 0.332 0.665
7 La 0.000 0.672 0.672
8 La 0.672 0.000 0.672
9 Mg 0.000 0.000 0.000

Summary:
Space group: I4/mmm
Total moment, μB/atom: 0.000



Version b
A plane-wave DFT calculation with PBE-GGA was carried out for a relaxed La8Mg crystal.

Unit cell a=3.826 b=9.362 c=9.362 alpha=87.61 beta=78.21 gamma=78.21
Fractional coordinates of all 9 atoms:
1 La 0.656 0.000 0.687
2 La 0.344 0.000 0.313
3 La 0.332 0.668 0.668
4 La 0.656 0.687 0.000
5 La 0.000 0.668 0.332
6 La 0.344 0.313 0.000
7 La 0.668 0.332 0.332
8 La 0.000 0.332 0.668
9 Mg 0.000 0.000 0.000

Summary:
Space group: I4/mmm
Total moment, μB/atom: 0.000



Which is the most stable structure? version a is the most stable.



Version a
A plane-wave DFT calculation with PBE-GGA was carried out for a relaxed LaMg6Mn crystal.

Unit cell a=7.092 b=7.092 c=5.015 alpha=90.00 beta=90.00 gamma=128.92
Each line ends with the local moment (μB).
Fractional coordinates of all 8 atoms:
1 La 0.304 0.696 0.500  -0.01
2 Mg 0.807 0.681 0.500  0.00
3 Mg 0.319 0.193 0.500  0.00
4 Mg 0.678 0.827 0.000  -0.01
5 Mg 0.173 0.322 0.000  -0.01
6 Mg 0.710 0.290 0.000  -0.01
7 Mg 0.139 0.861 0.000  0.00
8 Mn 0.870 0.130 0.500  3.70

Summary:
Space group: Amm2
Total moment, μB/atom: 0.487



Version b
A plane-wave DFT calculation with PBE-GGA was carried out for a relaxed LaMg6Mn crystal.

Unit cell a=6.854 b=6.854 c=5.012 alpha=90.00 beta=90.00 gamma=124.56
Each line ends with the local moment (μB).
Fractional coordinates of all 8 atoms:
1 La 0.304 0.696 0.500  -0.02
2 Mg 0.685 0.817 0.000  -0.01
3 Mg 0.183 0.315 0.000  -0.01
4 Mg 0.687 0.313 0.000  -0.01
5 Mg 0.822 0.678 0.500  -0.01
6 Mg 0.322 0.178 0.500  -0.01
7 Mg 0.848 0.152 0.500  0.01
8 Mn 0.147 0.853 0.000  3.76

Summary:
Space group: Amm2
Total moment, μB/atom: 0.490



Which is the most stable structure? version a is the most stable.



Version a
A plane-wave DFT calculation with PBE-GGA was carried out for a relaxed La3Mg2MnS8 crystal.

Unit cell a=8.615 b=7.618 c=8.383 alpha=53.04 beta=63.34 gamma=51.84
Each line ends with the local moment (μB).
Fractional coordinates of all 14 atoms:
1 S 0.848 0.624 0.861  0.00
2 S 0.315 0.150 0.710  -0.01
3 S 0.238 0.774 0.259  0.00
4 S 0.686 0.136 0.325  -0.01
5 S 0.783 0.258 0.782  0.01
6 S 0.276 0.783 0.668  0.01
7 S 0.199 0.375 0.186  0.04
8 S 0.663 0.776 0.278  -0.02
9 Mn 0.437 0.028 0.443  3.50
10 Mg 0.943 0.803 0.945  0.01
11 Mg 0.124 0.217 0.040  0.00
12 La 0.540 0.407 0.539  0.01
13 La 0.485 0.583 0.973  0.02
14 La 0.964 0.584 0.490  0.02

Summary:
Space group: P1
Total moment, μB/atom: 0.284



Version b
A plane-wave DFT calculation with PBE-GGA was carried out for a relaxed La3Mg2MnS8 crystal.

Unit cell a=7.932 b=7.932 c=7.932 alpha=61.55 beta=61.55 gamma=61.55
Each line ends with the local moment (μB).
Fractional coordinates of all 14 atoms:
1 La 0.500 0.000 0.500  -0.01
2 La 0.500 0.500 0.000  -0.01
3 La 0.000 0.500 0.500  -0.01
4 Mg 0.874 0.874 0.874  -0.01
5 Mg 0.126 0.126 0.126  -0.01
6 Mn 0.500 0.500 0.500  -3.81
7 S 0.729 0.264 0.729  0.02
8 S 0.271 0.271 0.736  0.02
9 S 0.252 0.252 0.252  0.00
10 S 0.736 0.271 0.271  0.02
11 S 0.748 0.748 0.748  0.00
12 S 0.264 0.729 0.729  0.02
13 S 0.271 0.736 0.271  0.02
14 S 0.729 0.729 0.264  0.02

Summary:
Space group: R-3m
Total moment, μB/atom: 0.286



Which is the most stable structure? version a is the most stable.